A PBEsol-optimized structure of LaCuTc3. Source: Alexandria via LeMat-Bulk, functional SCAN.

a = 4.5467 Å, b = 4.5467 Å, c = 4.5467 Å
α = 90.00°, β = 90.00°, γ = 90.00°
Closest atoms and distances in Å follow each position.
Positions (direct):
1 Tc 0.5000 0.0000 0.0000  2 Cu 2.27
2 Tc 0.0000 0.5000 0.0000  2 Cu 2.27
3 Tc 0.0000 0.0000 0.5000  2 Cu 2.27
4 La 0.5000 0.5000 0.5000  12 Tc 3.21
5 Cu 0.0000 0.0000 0.0000  6 Tc 2.27

Results
Crystal system ... cubic
Energy of formation ... 1.21 eV per atom



A PBEsol-optimized structure of La2CuTc. Source: Alexandria via LeMat-Bulk, functional SCAN.

a = 4.8240 Å, b = 4.8240 Å, c = 4.8240 Å
α = 60.00°, β = 60.00°, γ = 60.00°
Closest atoms and distances in Å follow each position.
Positions (direct):
1 Tc 0.2500 0.2500 0.2500  4 La 2.95, 4 Cu 2.95
2 Cu 0.5000 0.5000 0.5000  4 La 2.95, 4 Tc 2.95
3 La 0.7500 0.7500 0.7500  4 Cu 2.95, 4 La 2.95
4 La 0.0000 0.0000 0.0000  4 Tc 2.95, 4 La 2.95

Results
Crystal system ... cubic
Energy of formation ... 0.31 eV per atom



A PBEsol-optimized structure of La2CuTc. Source: Alexandria via LeMat-Bulk, functional SCAN.

a = 3.4975 Å, b = 3.4975 Å, c = 7.2870 Å
α = 90.00°, β = 90.00°, γ = 90.14°
Closest atoms and distances in Å follow each position.
Positions (direct):
1 Cu 0.5000 0.5000 0.0000  8 La 3.13, 4 Cu 3.50
2 Tc 0.5000 0.5000 0.5000  8 La 3.01-3.02
3 La 0.0000 0.0000 0.2631  4 Tc 3.01-3.02, 4 Cu 3.13
4 La 0.0000 0.0000 0.7369  4 Tc 3.01-3.02, 4 Cu 3.13

Results
Crystal system ... orthorhombic
Energy of formation ... 0.04 eV per atom



A PBEsol-optimized structure of LaCuTe2. Source: Alexandria via LeMat-Bulk, functional SCAN.

a = 4.1333 Å, b = 4.1333 Å, c = 6.5132 Å
α = 90.00°, β = 90.00°, γ = 90.00°
Closest atoms and distances in Å follow each position.
Positions (direct):
1 Cu 0.0000 0.0000 0.3772  5 Te 2.65-2.93
2 Te 0.5000 0.5000 0.3458  4 Cu 2.93, 1 La 3.00
3 Te 0.0000 0.0000 0.9708  1 Cu 2.65
4 La 0.5000 0.5000 0.8062  5 Te 3.00-3.11

Results
Crystal system ... tetragonal
Uncorrected formation energy ... -0.76 eV per atom



A PBEsol-optimized structure of LaCu2Te. Source: Alexandria via LeMat-Bulk, functional SCAN.

a = 3.6598 Å, b = 3.6598 Å, c = 6.5437 Å
α = 90.00°, β = 90.00°, γ = 90.00°
Closest atoms and distances in Å follow each position.
Positions (direct):
1 Te 0.5000 0.5000 0.7707  1 Cu 2.57
2 Cu 0.0000 0.0000 0.0667  4 Cu 2.66, 1 La 2.83
3 Cu 0.5000 0.5000 0.1631  1 Te 2.57, 4 Cu 2.66
4 La 0.0000 0.0000 0.4995  1 Cu 2.83, 4 Te 3.14

Results
Crystal system ... tetragonal
Uncorrected formation energy ... -0.19 eV per atom



A PBEsol-optimized structure of LaTiZn2Cu. Source: Alexandria via LeMat-Bulk, functional SCAN.

a = 4.5207 Å, b = 4.8831 Å, c = 4.8831 Å
α = 90.00°, β = 90.00°, γ = 90.00°
Closest atoms and distances in Å follow each position.
Positions (direct):
1 Cu 0.5000 0.0000 0.0000  2 Ti 2.26
2 Zn 0.0000 0.0000 0.5000  2 Ti 2.44
3 Zn 0.0000 0.5000 0.0000  2 Ti 2.44
4 La 0.5000 0.5000 0.5000  8 Zn 3.33, 4 Cu 3.45
5 Ti 0.0000 0.0000 0.0000  2 Cu 2.26, 4 Zn 2.44

Results
Crystal system ... tetragonal
Energy of formation ... 0.20 eV per atom



| no. | Fermi-level density of states (states/eV/f.u.) |
| --- | --- |
| 1 | 8.20 |
| 2 | 4.66 |
| 3 | 1.35 |
| 4 | 1.20 |
| 5 | 1.48 |
| 6 | 3.59 |